Record 1
GGA-PBE TcHg2W, relaxed; size of the total moment = 0.00 Bohr magnetons per cell; D(E_F) = 4.5 states/eV/cell; energy relative to the lowest polymorph listed for this composition = 0.4784 eV/atom; volume = 71.3 Å³ per cell; ΔE_f = 0.877 eV per atom; SG = P4/mmm (123); E_tot = -5.104 eV/atom
1.0
3.982 0.000 0.000
0.000 3.982 0.000
0.000 0.000 4.497
Tc Hg W
1 2 1
Cartesian
0.000 0.000 0.000
0.000 1.991 2.249
1.991 0.000 2.249
1.991 1.991 0.000


Record 2
GGA-PBE TcHg2W, relaxed; size of the total moment = 0.00 Bohr magnetons per cell; D(E_F) = 5.2 states/eV/cell; energy relative to the lowest polymorph listed for this composition = 0.2492 eV/atom; volume = 150.3 Å³ per cell; ΔE_f = 0.647 eV per atom; SG = Cm (8); E_tot = -5.333 eV/atom
1.0
10.112 0.000 0.000
0.000 3.123 0.000
-1.529 0.000 4.758
Tc Hg W
2 4 2
Cartesian
0.000 0.000 0.000
5.056 1.562 0.000
-0.425 1.562 2.573
2.256 1.562 1.379
4.631 0.000 2.573
7.311 0.000 1.379
1.850 0.000 3.945
6.906 1.562 3.945


Record 3
GGA-PBE TcHg2W, relaxed; size of the total moment = 0.00 Bohr magnetons per cell; D(E_F) = 6.3 states/eV/cell; energy relative to the lowest polymorph listed for this composition = 0.4561 eV/atom; volume = 144.5 Å³ per cell; ΔE_f = 0.854 eV per atom; SG = Cmmm (65); E_tot = -5.126 eV/atom
1.0
3.199 0.000 0.000
0.000 4.643 0.000
0.000 0.000 9.725
Tc Hg W
2 4 2
Cartesian
0.000 0.000 0.000
1.600 2.322 0.000
0.000 2.322 2.398
0.000 2.322 7.327
1.600 0.000 2.398
1.600 0.000 7.327
0.000 0.000 4.862
1.600 2.322 4.862